i | A relaxed structure of NaInAsIr. Source: OQMD, functional PBE-GGA.

Cell: 4.7182 4.7182 4.7182 Å, 60.00 60.00 60.00°
Fractional coordinates of all 4 atoms:
As  0.2500  0.2500  0.2500
In  0.0000  0.0000  0.0000
Ir  0.5000  0.5000  0.5000
Na  0.7500  0.7500  0.7500

Computed properties:
symmetry: F-43m, No. 216
density: 9.05 g cm⁻³

---

ii | A relaxed structure of NaInAsIr. Source: OQMD, functional PBE-GGA.

Cell: 4.7391 4.7391 4.7391 Å, 60.00 60.00 60.00°
Fractional coordinates of all 4 atoms:
As  0.0000  0.0000  0.0000
In  0.2500  0.2500  0.2500
Ir  0.5000  0.5000  0.5000
Na  0.7500  0.7500  0.7500

Computed properties:
symmetry: F-43m, No. 216
density: 8.93 g cm⁻³

---

In order of decreasing stability: ii, i.

---

i | A relaxed structure of Cu7Ag3. Source: OQMD, functional PBE-GGA.

Cell: 4.6857 2.7270 10.9429 Å, 90.00 97.98 90.00°
Fractional coordinates of all 10 atoms:
Ag  0.8990  0.5000  0.1961
Ag  0.3994  0.0000  0.1993
Ag  0.7017  0.5000  0.6048
Cu  0.8100  0.0000  0.4047
Cu  0.2938  0.5000  0.4094
Cu  0.2013  0.0000  0.6036
Cu  0.1088  0.5000  0.8012
Cu  0.5939  0.0000  0.8058
Cu  0.9969  0.0000  0.9862
Cu  0.4952  0.5000  0.9889

Computed properties:
symmetry: Pm, No. 6
density: 9.21 g cm⁻³

---

ii | A relaxed structure of Cu7Ag3. Source: OQMD, functional PBE-GGA.

Cell: 21.4966 21.4966 21.4966 Å, 7.28 7.28 7.28°
Fractional coordinates of all 10 atoms:
Ag  0.0000  0.0000  0.0000
Ag  0.2939  0.2939  0.2939
Ag  0.7061  0.7061  0.7061
Cu  0.1049  0.1049  0.1049
Cu  0.1975  0.1975  0.1975
Cu  0.4077  0.4077  0.4077
Cu  0.5000  0.5000  0.5000
Cu  0.5923  0.5923  0.5923
Cu  0.8025  0.8025  0.8025
Cu  0.8951  0.8951  0.8951

Computed properties:
symmetry: R-3m, No. 166
density: 9.23 g cm⁻³

---

iii | A relaxed structure of Cu7Ag3. Source: OQMD, functional PBE-GGA.

Cell: 7.3504 7.3504 4.5062 Å, 94.68 94.68 144.27°
Fractional coordinates of all 10 atoms:
Ag  0.5950  0.4050  0.0000
Ag  0.2107  0.7893  0.0000
Ag  0.0936  0.9064  0.5000
Cu  0.9864  0.0136  0.0000
Cu  0.8082  0.1918  0.0000
Cu  0.4010  0.5990  0.0000
Cu  0.8963  0.1037  0.5000
Cu  0.7128  0.2871  0.5000
Cu  0.4873  0.5127  0.5000
Cu  0.3085  0.6915  0.5000

Computed properties:
symmetry: C2, No. 5
density: 9.31 g cm⁻³

---

iv | A relaxed structure of Cu7Ag3. Source: OQMD, functional PBE-GGA.

Cell: 5.3956 5.3956 9.4254 Å, 93.95 93.95 29.92°
Fractional coordinates of all 10 atoms:
Ag  0.0000  0.0000  0.0000
Ag  0.7219  0.7219  0.1257
Ag  0.2781  0.2781  0.8743
Cu  0.4269  0.4269  0.2325
Cu  0.1123  0.1123  0.3269
Cu  0.8076  0.8076  0.4099
Cu  0.5000  0.5000  0.5000
Cu  0.1924  0.1924  0.5901
Cu  0.8877  0.8877  0.6731
Cu  0.5731  0.5731  0.7675

Computed properties:
symmetry: C2/m, No. 12
density: 9.35 g cm⁻³

---

In order of decreasing stability: iv, iii, ii, i.

---

i | A relaxed structure of Cu7Ag3. Source: OQMD, functional PBE-GGA.

Cell: 2.7878 2.7878 17.5426 Å, 90.00 90.00 90.00°
Fractional coordinates of all 10 atoms:
Ag  0.5000  0.5000  0.0818
Ag  0.0000  0.0000  0.2071
Ag  0.5000  0.5000  0.5109
Cu  0.5000  0.5000  0.3149
Cu  0.0000  0.0000  0.4028
Cu  0.0000  0.0000  0.6194
Cu  0.5000  0.5000  0.7079
Cu  0.0000  0.0000  0.7966
Cu  0.5000  0.5000  0.8852
Cu  0.0000  0.0000  0.9735

Computed properties:
symmetry: P4mm, No. 99
density: 9.36 g cm⁻³

---

ii | A relaxed structure of Cu7Ag3. Source: OQMD, functional PBE-GGA.

Cell: 9.3548 9.3548 5.4759 Å, 98.22 98.22 16.86°
Fractional coordinates of all 10 atoms:
Ag  0.7977  0.7977  0.3904
Ag  0.4066  0.4066  0.7146
Ag  0.5956  0.5956  0.7955
Cu  0.0033  0.0033  0.0331
Cu  0.1968  0.1968  0.0942
Cu  0.4024  0.4024  0.1952
Cu  0.6038  0.6038  0.3030
Cu  0.0004  0.0004  0.4730
Cu  0.1988  0.1988  0.6013
Cu  0.7945  0.7945  0.8997

Computed properties:
symmetry: Cm, No. 8
density: 9.28 g cm⁻³

---

In order of decreasing stability: i, ii.

---

i | A relaxed structure of Gd2Hg2O5. Source: OQMD, functional PBE-GGA.

Cell: 8.8841 4.1150 4.1150 Å, 90.00 90.00 90.00°
Fractional coordinates of all 9 atoms:
Gd  0.2509  0.5000  0.5000
Gd  0.7491  0.5000  0.5000
Hg  0.0000  0.0000  0.0000
Hg  0.5000  0.0000  0.0000
O  0.1597  0.5000  0.0000
O  0.8403  0.5000  0.0000
O  0.1597  0.0000  0.5000
O  0.8403  0.0000  0.5000
O  0.5000  0.5000  0.5000

Computed properties:
symmetry: P4/mmm, No. 123
density: 8.78 g cm⁻³

---

ii | A relaxed structure of Gd2Hg2O5. Source: OQMD, functional PBE-GGA.

Cell: 7.1732 4.2919 4.2919 Å, 90.00 90.00 90.00°
Fractional coordinates of all 9 atoms:
Gd  0.0000  0.0000  0.0000
Gd  0.5000  0.0000  0.0000
Hg  0.1931  0.5000  0.5000
Hg  0.8069  0.5000  0.5000
O  0.2139  0.5000  0.0000
O  0.7861  0.5000  0.0000
O  0.2139  0.0000  0.5000
O  0.7861  0.0000  0.5000
O  0.5000  0.5000  0.5000

Computed properties:
symmetry: P4/mmm, No. 123
density: 10.00 g cm⁻³

---

In order of decreasing stability: i, ii.